Entry 1:
The following is a PBE-GGA calculation of an optimized crystal structure of SmHo2Ag3Se6, from Alexandria.

## Properties
M_tot	0.0	μB/cell
ΔE_f (raw)	-1366	kJ/mol of formula units
space-group type	C2/m (12)
N(E_F)	0.000	states/eV/cell
total energy	-4.7907	eV per atom

Geometry as POSCAR:
```
SmHo2Ag3Se6
1.0
8.108 -2.108 0.000
8.108 2.108 0.000
-2.762 0.000 9.548
Sm Ho Ag Se
1 2 3 6
Cartesian
0.000 0.000 0.000
3.625 0.000 6.332
9.828 0.000 3.217
-1.381 0.000 4.774
5.157 0.000 0.403
8.296 0.000 9.145
1.113 0.000 5.013
2.644 0.000 1.413
7.337 0.000 1.916
6.116 0.000 7.632
10.810 0.000 8.136
12.340 0.000 4.535
```

***

Entry 2:
The following is a PBE-GGA calculation of an optimized crystal structure of YErThSc3, from Alexandria.

## Properties
M_tot	0.0	μB/cell
space-group type	P2_1/m (11)
formation energy	50	meV/atom
N(E_F)	17.687	states/eV/cell
total energy	-6.1901	eV per atom

Geometry as POSCAR:
```
YErThSc3
1.0
10.118 0.000 0.000
0.000 3.447 0.000
-3.192 0.000 9.626
Y Er Th Sc
2 2 2 6
Cartesian
0.415 0.862 2.771
6.510 2.585 6.855
-0.683 0.862 5.996
7.608 2.585 3.630
0.964 2.585 8.421
5.962 0.862 1.204
-1.785 0.862 9.270
2.142 2.585 5.235
3.220 2.585 2.007
3.706 0.862 7.619
4.784 0.862 4.391
8.710 2.585 0.356
```

***

Entry 3:
The following is a PBE-GGA calculation of an optimized crystal structure of LiTb2Ga2, from Alexandria.

## Properties
M_tot	0.0	μB/cell
space-group type	C2/m (12)
formation energy	-462	meV/atom
N(E_F)	7.353	states/eV/cell
total energy	-3.9077	eV per atom

Geometry as POSCAR:
```
LiTb2Ga2
1.0
5.255 -2.241 0.000
5.255 2.241 0.000
-5.025 0.000 9.470
Li Tb Ga
2 4 4
Cartesian
0.544 0.000 3.428
4.941 0.000 6.042
-1.212 0.000 8.499
1.712 0.000 6.358
3.772 0.000 3.112
6.696 0.000 0.971
-4.246 0.000 8.400
-1.451 0.000 5.438
6.936 0.000 4.032
9.731 0.000 1.071
```